[1]
Entry from Alexandria: AcSbPbAu after structural relaxation (PBE).

* magnetic moment: 0.000 Bohr magnetons per cell
* E_tot: -4.332 eV/atom

```
AcSbPbAu
1.0
5.5158 0.0000 0.0000
2.7579 4.7768 0.0000
2.7579 1.5923 4.5036
Pb Sb Ac Au
1 1 1 1
direct
0.2500 0.2500 0.2500
0.5000 0.5000 0.5000
0.7500 0.7500 0.7500
0.0000 0.0000 0.0000
```

***

[2]
Entry from Alexandria: Ac3Sb2PbAu6 after structural relaxation (PBE).

* magnetic moment: 0.000 Bohr magnetons per cell
* E_tot: -4.177 eV/atom

```
Ac3Sb2PbAu6
1.0
-2.4438 1.9160 5.6870
-3.8206 -0.3262 -5.2232
-2.0437 -8.6467 2.0349
Ac Sb Pb Au
3 2 1 6
direct
0.3333 0.6667 0.6338
0.6667 0.3333 0.3662
0.0000 0.0000 0.0000
0.6667 0.3333 0.9779
0.3333 0.6667 0.0221
0.0000 0.0000 0.5000
0.6324 0.8162 0.2776
0.1838 0.3676 0.2776
0.1838 0.8162 0.2776
0.8162 0.6324 0.7224
0.3676 0.1838 0.7224
0.8162 0.1838 0.7224
```

***

[3]
Entry from Alexandria: AcScPbAu after structural relaxation (PBE).

* magnetic moment: 0.796 Bohr magnetons per cell
* E_tot: -4.825 eV/atom
* energy of formation: -469 meV per atom

```
AcScPbAu
1.0
-1.1382 5.0649 1.5333
-4.2154 0.9590 3.2574
0.8330 1.5280 5.1255
Pb Sc Ac Au
1 1 1 1
direct
0.0000 0.0000 0.0000
0.7500 0.7500 0.7500
0.2500 0.2500 0.2500
0.5000 0.5000 0.5000
```

***

[4]
Entry from Alexandria: AcSi2Pb2Au7 after structural relaxation (PBE).

* magnetic moment: 0.000 Bohr magnetons per cell
* E_tot: -4.046 eV/atom

```
AcSi2Pb2Au7
1.0
4.9422 0.0638 -0.1603
0.0698 4.9422 -0.1603
1.7333 1.7312 11.3784
Ac Si Pb Au
1 2 2 7
direct
0.0000 0.0000 0.0000
0.6834 0.6834 0.7926
0.3166 0.3166 0.2074
0.8694 0.8694 0.3890
0.1306 0.1306 0.6110
0.5000 0.5000 0.0000
0.4207 0.4207 0.3998
0.5793 0.5793 0.6002
0.8457 0.4299 0.1936
0.4299 0.8457 0.1936
0.5701 0.1543 0.8064
0.1543 0.5701 0.8064
```

***

[5]
Entry from Alexandria: AcSi2PbAu5 after structural relaxation (PBE).

* magnetic moment: 0.000 Bohr magnetons per cell
* E_tot: -4.181 eV/atom

```
AcSi2PbAu5
1.0
4.6508 0.0000 0.0000
0.0000 4.6508 0.0000
0.0000 0.0000 10.1764
Ac Si Pb Au
1 2 1 5
direct
0.0000 0.0000 0.5000
0.5000 0.5000 0.2669
0.5000 0.5000 0.7331
0.0000 0.0000 0.0000
0.0000 0.5000 0.1966
0.5000 0.0000 0.1966
0.0000 0.5000 0.8034
0.5000 0.0000 0.8034
0.5000 0.5000 0.5000
```

***

[6]
Entry from Alexandria: AcSmPbAu after structural relaxation (PBE).

* magnetic moment: 0.909 Bohr magnetons per cell
* E_tot: -4.530 eV/atom
* energy of formation: -576 meV per atom

```
AcSmPbAu
1.0
-0.8924 -1.5850 5.2528
1.6323 -5.0346 1.6995
4.2752 -0.4951 3.5182
Pb Ac Au Sm
1 1 1 1
direct
0.5000 0.5000 0.5000
0.7500 0.7500 0.7500
0.0000 0.0000 0.0000
0.2500 0.2500 0.2500
```

***

[7]
Entry from Alexandria: Ac2Sn4PbAu3 after structural relaxation (PBE).

* magnetic moment: 0.000 Bohr magnetons per cell
* E_tot: -4.248 eV/atom
* energy of formation: -471 meV per atom

```
Ac2Sn4PbAu3
1.0
-0.1133 2.6106 4.2300
-4.3031 2.0666 -1.3907
-5.5899 -8.2950 4.9697
Ac Sn Pb Au
2 4 1 3
direct
0.5000 0.0000 0.2413
0.0000 0.5000 0.7587
0.5000 0.5000 0.0000
0.0000 0.0000 0.0000
0.5000 0.0000 0.6415
0.0000 0.5000 0.3585
0.5000 0.5000 0.5000
0.0000 0.0000 0.5000
0.5000 0.0000 0.8803
0.0000 0.5000 0.1197
```

***

[8]
Entry from Alexandria: Ac2SnPbAu6 after structural relaxation (PBE).

* magnetic moment: 0.000 Bohr magnetons per cell
* E_tot: -4.021 eV/atom
* energy of formation: -461 meV per atom

```
Ac2SnPbAu6
1.0
-5.5442 4.3890 -0.9419
-3.0544 -3.8095 -5.3376
-9.5225 -2.1173 -1.5988
Ac Sn Pb Au
2 1 1 6
direct
0.7253 0.2191 0.5133
0.2747 0.7809 0.4866
0.5000 0.5000 0.0000
0.0000 0.0000 0.0000
0.2444 0.2301 0.5049
0.8422 0.6418 0.0042
0.2628 0.7447 0.1708
0.7372 0.2553 0.8292
0.1578 0.3582 0.9958
0.7556 0.7699 0.4951
```

***

[9]
Entry from Alexandria: SrAcPbAu after structural relaxation (PBE).

* magnetic moment: 0.000 Bohr magnetons per cell
* E_tot: -3.861 eV/atom
* energy of formation: -667 meV per atom

```
SrAcPbAu
1.0
5.6847 0.0000 0.0000
2.8423 4.9231 0.0000
2.8423 1.6410 4.6415
Pb Sr Ac Au
1 1 1 1
direct
0.5000 0.5000 0.5000
0.2500 0.2500 0.2500
0.7500 0.7500 0.7500
0.0000 0.0000 0.0000
```

***

[10]
Entry from Alexandria: AcTbPbAu after structural relaxation (PBE).

* magnetic moment: 0.817 Bohr magnetons per cell
* E_tot: -4.491 eV/atom
* energy of formation: -560 meV per atom

```
AcTbPbAu
1.0
5.5233 0.0000 0.0000
2.7617 4.7833 0.0000
2.7617 1.5944 4.5098
Pb Tb Ac Au
1 1 1 1
direct
0.5000 0.5000 0.5000
0.7500 0.7500 0.7500
0.2500 0.2500 0.2500
0.0000 0.0000 0.0000
```

***

[11]
Entry from Alexandria: AcTmPbAu after structural relaxation (PBE).

* magnetic moment: 0.557 Bohr magnetons per cell
* E_tot: -4.421 eV/atom
* energy of formation: -530 meV per atom

```
AcTmPbAu
1.0
5.4897 0.0000 0.0000
2.7448 4.7542 0.0000
2.7448 1.5847 4.4823
Pb Ac Tm Au
1 1 1 1
direct
0.5000 0.5000 0.5000
0.2500 0.2500 0.2500
0.7500 0.7500 0.7500
0.0000 0.0000 0.0000
```

***

[12]
Entry from Alexandria: AcZn2PbAu5 after structural relaxation (PBE).

* magnetic moment: 0.000 Bohr magnetons per cell
* E_tot: -3.274 eV/atom
* energy of formation: -301 meV per atom

```
AcZn2PbAu5
1.0
-0.4756 0.6363 -4.9558
-2.6495 -4.2528 -0.2918
-6.7247 4.1090 1.1729
Ac Zn Pb Au
1 2 1 5
direct
0.0000 0.0000 0.5000
0.5000 0.5000 0.1587
0.5000 0.5000 0.8413
0.0000 0.0000 0.0000
0.0000 0.5000 0.2453
0.5000 0.0000 0.2453
0.0000 0.5000 0.7547
0.5000 0.0000 0.7547
0.5000 0.5000 0.5000
```

***

magnetic moment of number 5 (AcSi2PbAu5)? 0.000 Bohr magnetons per cell

***

Look up the magnetic moment of the twelfth one. 0.000 Bohr magnetons per cell

***

Which value of E_tot does entry 1 give? -4.332 eV/atom